VASP calculation (PBE) on a relaxed structure of Ac2NpPt12Rh3.

a b c (Å): 9.9280 9.9280 9.9280
angles (deg): 40.45 40.45 40.45
Sites, in units of the cell vectors:
Ac: 0.1536 0.1536 0.1536
Ac: 0.8464 0.8464 0.8464
Np: 0.5000 0.5000 0.5000
Pt: 0.0806 0.0806 0.6914
Pt: 0.0806 0.6914 0.0806
Pt: 0.1390 0.5756 0.5756
Pt: 0.3086 0.9194 0.9194
Pt: 0.4244 0.4244 0.8610
Pt: 0.4244 0.8610 0.4244
Pt: 0.5756 0.1390 0.5756
Pt: 0.5756 0.5756 0.1390
Pt: 0.6914 0.0806 0.0806
Pt: 0.8610 0.4244 0.4244
Pt: 0.9194 0.3086 0.9194
Pt: 0.9194 0.9194 0.3086
Rh: 0.0000 0.5000 0.5000
Rh: 0.5000 0.0000 0.5000
Rh: 0.5000 0.5000 0.0000

Results
The energy relative to the elements comes out at -0.06 eV/atom. The value obtained for the total energy is -6.491 eV per atom. As for the space group: R-3m (166).